V2CoHO6, optimized geometry, DFT PBE+U; D(E_F) = 1.6 states/eV/cell; crystal system = monoclinic; uncorrected energy = -6.81 eV/atom; magnetization = 8.000 μB/cell; space-group type = No. 15
1.0
5.128 -4.536 0.000
5.128 4.536 0.000
-1.074 0.000 5.130
V Co H O
4 2 2 12
direct
0.124 0.352 0.153 V
0.352 0.124 0.653 V
0.648 0.876 0.347 V
0.876 0.648 0.847 V
0.384 0.616 0.750 Co
0.616 0.384 0.250 Co
0.369 0.631 0.250 H
0.631 0.369 0.750 H
0.130 0.554 0.873 O
0.154 0.190 0.405 O
0.190 0.154 0.905 O
0.304 0.516 0.360 O
0.446 0.870 0.627 O
0.484 0.696 0.140 O
0.516 0.304 0.860 O
0.554 0.130 0.373 O
0.696 0.484 0.640 O
0.810 0.846 0.095 O
0.846 0.810 0.595 O
0.870 0.446 0.127 O